Record 1
First-principles (GGA-PBE) data for a geometry-optimized BaGaGeH structure, as listed in the Alexandria database.

abc: 4.3782 4.3782 5.2392
angles: 90.00 90.00 120.00
Space group P3m1 (No. 156)
Asymmetric unit:
Ba 0.0000 0.0000 0.0000
Ga 0.6667 0.3333 0.5487
Ge 0.3333 0.6667 0.4463
H 0.6667 0.3333 0.8826

The calculation puts the calculated density at 5.4 g cm⁻³. For the raw total energy, the calculation gives -3.7315 eV per atom. Its density of states at the Fermi level is 0.03 states/eV/f.u.

=====

Record 2
First-principles (GGA-PBE) data for a geometry-optimized YZrIn2 structure, as listed in the Alexandria database.

abc: 4.717 4.717 4.358
angles: 90.00 90.00 90.00
Space group P4/mmm (No. 123)
Asymmetric unit:
Y 0.000 0.000 0.000
Zr 0.500 0.500 0.000
In 0.000 0.500 0.500

The calculation puts the calculated density at 7.0 g cm⁻³. The calculation puts the formation energy at -0.33 eV/atom. For the raw total energy, the calculation gives -5.4545 eV per atom. Its density of states at the Fermi level is 4.15 states/eV/f.u.

=====

Record 3
First-principles (GGA-PBE) data for a geometry-optimized Ba5HS4 structure, as listed in the Alexandria database.

abc: 4.519 6.366 22.478
angles: 90.00 90.00 90.00
Space group Immm (No. 71)
Asymmetric unit:
Ba 0.000 0.000 0.000
Ba 0.000 0.000 0.201
Ba 0.000 0.000 0.398
H 0.000 0.500 0.000
S 0.000 0.500 0.196
S 0.000 0.500 0.402

The calculation puts the calculated density at 4.2 g cm⁻³. For the raw total energy, the calculation gives -4.6400 eV per atom. Its density of states at the Fermi level is 3.70 states/eV/f.u.

=====

Record 4
First-principles (GGA-PBE) data for a geometry-optimized ZrI structure, as listed in the Alexandria database.

abc: 6.609 6.609 6.609
angles: 90.00 90.00 90.00
Space group F-43m (No. 216)
Asymmetric unit:
Zr 0.000 0.000 0.000
I 0.250 0.250 0.750

The calculation puts the calculated density at 5.0 g cm⁻³. As for the uncorrected formation energy: 563 meV per atom. For the raw total energy, the calculation gives -4.4859 eV per atom. Its density of states at the Fermi level is 3.27 states/eV/f.u.

=====

Record 5
First-principles (GGA-PBE) data for a geometry-optimized GeAsSe2 structure, as listed in the Alexandria database.

abc: 5.295 5.295 15.376
angles: 90.00 90.00 90.00
Space group I-42d (No. 122)
Asymmetric unit:
Ge 0.000 0.000 0.000
As 0.000 0.000 0.500
Se 0.241 0.250 0.625

The value obtained for the offset from the most stable computed form is 0.0953 eV/atom. The calculation puts the calculated density at 4.7 g cm⁻³. As for the uncorrected formation energy: 159 meV per atom. For the raw total energy, the calculation gives -3.8998 eV per atom. Its density of states at the Fermi level is 1.60 states/eV/f.u.

=====

Record 6
First-principles (GGA-PBE) data for a geometry-optimized CsHg2PdI structure, as listed in the Alexandria database.

abc: 5.457 5.457 5.957
angles: 90.00 90.00 90.00
Space group P4/mmm (No. 123)
Asymmetric unit:
Cs 0.000 0.000 0.000
Hg 0.000 0.500 0.500
Pd 0.500 0.500 0.500
I 0.500 0.500 0.000

The calculation puts the calculated density at 7.2 g cm⁻³. As for the uncorrected formation energy: -492 meV per atom. For the raw total energy, the calculation gives -2.1315 eV per atom. Its density of states at the Fermi level is 1.08 states/eV/f.u.

=====

Record 7
First-principles (GGA-PBE) data for a geometry-optimized ScAlNF2 structure, as listed in the Alexandria database.

abc: 3.750 3.750 3.863
angles: 90.00 90.00 90.00
Space group P4/mmm (No. 123)
Asymmetric unit:
Sc 0.000 0.000 0.000
Al 0.500 0.500 0.500
N 0.500 0.500 0.000
F 0.000 0.500 0.500

The value obtained for the offset from the most stable computed form is 0.0000 eV/atom. The calculation puts the calculated density at 3.8 g cm⁻³. As for the uncorrected formation energy: -1934 meV per atom. For the raw total energy, the calculation gives -6.3619 eV per atom. Its density of states at the Fermi level is 2.14 states/eV/f.u.

=====

Record 8
First-principles (GGA-PBE) data for a geometry-optimized Co2TcRh structure, as listed in the Alexandria database.

abc: 8.542 2.639 4.590
angles: 90.00 100.14 90.00
Space group C2/m (No. 12)
Asymmetric unit:
Co 0.250 0.000 0.237
Tc 0.000 0.500 0.000
Rh 0.000 0.000 0.500

The value obtained for the offset from the most stable computed form is 0.0714 eV/atom. The calculation puts the calculated density at 10.4 g cm⁻³. The calculation puts the formation energy at 0.11 eV/atom. For the raw total energy, the calculation gives -7.8768 eV per atom. Its density of states at the Fermi level is 5.31 states/eV/f.u.

=====

Record 9
First-principles (GGA-PBE) data for a geometry-optimized Nb4AlGa2 structure, as listed in the Alexandria database.

abc: 4.961 5.476 9.278
angles: 90.00 103.30 90.00
Space group P2_1/m (No. 11)
Asymmetric unit:
Nb 0.009 0.250 0.168
Nb 0.140 0.750 0.432
Nb 0.412 0.502 0.722
Al 0.084 0.750 0.140
Ga 0.298 0.250 0.453
Ga 0.430 0.250 0.000

The calculation puts the calculated density at 7.3 g cm⁻³. The calculation puts the formation energy at -0.14 eV/atom. For the raw total energy, the calculation gives -7.2919 eV per atom. Its density of states at the Fermi level is 4.30 states/eV/f.u.

=====

Record 10
First-principles (GGA-PBE) data for a geometry-optimized YScNiRh structure, as listed in the Alexandria database.

abc: 6.644 6.644 6.644
angles: 90.00 90.00 90.00
Space group F-43m (No. 216)
Asymmetric unit:
Y 0.000 0.000 0.000
Sc 0.000 0.000 0.500
Ni 0.250 0.250 0.250
Rh 0.250 0.250 0.750

The calculation puts the calculated density at 6.7 g cm⁻³. The calculation puts the formation energy at -0.64 eV/atom. For the raw total energy, the calculation gives -7.1234 eV per atom. Its density of states at the Fermi level is 1.76 states/eV/f.u.

=====

Record 11
First-principles (GGA-PBE) data for a geometry-optimized Ta2SbIr structure, as listed in the Alexandria database.

abc: 5.668 8.230 3.062
angles: 90.00 90.24 90.00
Space group C2/m (No. 12)
Asymmetric unit:
Ta 0.250 0.250 0.000
Sb 0.000 0.000 0.500
Ir 0.000 0.500 0.500

The calculation puts the calculated density at 15.7 g cm⁻³. As for the uncorrected formation energy: -19 meV per atom. For the raw total energy, the calculation gives -9.1907 eV per atom. Its density of states at the Fermi level is 2.80 states/eV/f.u.

=====

Record 12
First-principles (GGA-PBE) data for a geometry-optimized ScGeO3 structure, as listed in the Alexandria database.

abc: 12.507 3.159 5.930
angles: 90.00 104.55 90.00
Space group C2/m (No. 12)
Asymmetric unit:
Sc 0.210 0.000 0.242
Ge 0.039 0.500 0.717
O 0.031 0.000 0.227
O 0.155 0.500 0.968
O 0.193 0.000 0.609

The calculation puts the calculated density at 4.8 g cm⁻³. As for the uncorrected formation energy: -2319 meV per atom. For the raw total energy, the calculation gives -7.4841 eV per atom. Its density of states at the Fermi level is 0.00 states/eV/f.u.

=====

Record 13
First-principles (GGA-PBE) data for a geometry-optimized CdPb2CCl structure, as listed in the Alexandria database.

abc: 5.581 5.581 4.381
angles: 90.00 90.00 90.00
Space group P4/mmm (No. 123)
Asymmetric unit:
Cd 0.000 0.000 0.000
Pb 0.000 0.500 0.500
C 0.500 0.500 0.000
Cl 0.500 0.500 0.500

The calculation puts the calculated density at 7.0 g cm⁻³. As for the uncorrected formation energy: 1266 meV per atom. For the raw total energy, the calculation gives -2.6149 eV per atom. Its density of states at the Fermi level is 2.69 states/eV/f.u.

=====

Record 14
First-principles (GGA-PBE) data for a geometry-optimized DySI structure, as listed in the Alexandria database.

abc: 4.1605 4.1605 7.2761
angles: 90.00 90.00 120.00
Space group P3m1 (No. 156)
Asymmetric unit:
Dy 0.0000 0.0000 0.0000
S 0.6667 0.3333 0.1557
I 0.3333 0.6667 0.7137

The value obtained for the offset from the most stable computed form is 0.0757 eV/atom. The calculation puts the calculated density at 4.9 g cm⁻³. As for the uncorrected formation energy: -1739 meV per atom. For the raw total energy, the calculation gives -5.1653 eV per atom. Its density of states at the Fermi level is 0.00 states/eV/f.u.

=====

Record 15
First-principles (GGA-PBE) data for a geometry-optimized Ce2CrRu3 structure, as listed in the Alexandria database.

abc: 5.6785 5.6785 11.3875
angles: 90.00 90.00 120.00
Space group R-3m (No. 166, hexagonal axes)
Asymmetric unit:
Ce 0.0000 0.0000 0.1294
Cr 0.0000 0.0000 0.5000
Ru 0.0000 0.5000 0.0000

The calculation puts the calculated density at 10.0 g cm⁻³. The calculation puts the formation energy at -0.27 eV/atom. For the raw total energy, the calculation gives -8.4922 eV per atom. Its density of states at the Fermi level is 7.99 states/eV/f.u.

=====

Record 16
First-principles (GGA-PBE) data for a geometry-optimized SrErAs structure, as listed in the Alexandria database.

abc: 7.836 6.426 7.188
angles: 90.00 90.00 90.00
Space group Pnma (No. 62)
Asymmetric unit:
Sr 0.092 0.250 0.071
Er 0.000 0.000 0.500
As 0.212 0.750 0.202

The calculation puts the calculated density at 6.1 g cm⁻³. The calculation puts the formation energy at -0.61 eV/atom. For the raw total energy, the calculation gives -4.2370 eV per atom. Its density of states at the Fermi level is 2.45 states/eV/f.u.

=====

Record 17
First-principles (GGA-PBE) data for a geometry-optimized CePm2Ho6 structure, as listed in the Alexandria database.

abc: 9.783 16.927 3.442
angles: 90.00 90.00 90.00
Space group Cmmm (No. 65)
Asymmetric unit:
Ce 0.000 0.000 0.000
Pm 0.000 0.333 0.000
Ho 0.166 0.166 0.500
Ho 0.168 0.500 0.500

The value obtained for the offset from the most stable computed form is 0.0000 eV/atom. The calculation puts the calculated density at 8.3 g cm⁻³. The calculation puts the formation energy at 0.08 eV/atom. For the raw total energy, the calculation gives -4.6858 eV per atom. Its density of states at the Fermi level is 14.32 states/eV/f.u.

=====

Record 18
First-principles (GGA-PBE) data for a geometry-optimized SrLiCd2 structure, as listed in the Alexandria database.

abc: 4.924 4.924 9.035
angles: 90.00 90.00 90.00
Space group I4/mmm (No. 139)
Asymmetric unit:
Sr 0.000 0.000 0.000
Li 0.000 0.000 0.500
Cd 0.000 0.500 0.250

The value obtained for the offset from the most stable computed form is 0.0702 eV/atom. The calculation puts the calculated density at 4.8 g cm⁻³. The calculation puts the formation energy at -0.20 eV/atom. For the raw total energy, the calculation gives -1.5560 eV per atom. Its density of states at the Fermi level is 2.21 states/eV/f.u.

=====

Record 19
First-principles (GGA-PBE) data for a geometry-optimized MnBiSe2N structure, as listed in the Alexandria database.

abc: 5.154 5.154 3.592
angles: 90.00 90.00 90.00
Space group P4/mmm (No. 123)
Asymmetric unit:
Mn 0.000 0.000 0.000
Bi 0.500 0.500 0.500
Se 0.000 0.500 0.000
N 0.000 0.000 0.500

The value obtained for the offset from the most stable computed form is 0.0000 eV/atom. The calculation puts the calculated density at 7.6 g cm⁻³. As for the uncorrected formation energy: 49 meV per atom. For the raw total energy, the calculation gives -5.6202 eV per atom. Its density of states at the Fermi level is 1.53 states/eV/f.u.

=====

Record 20
First-principles (GGA-PBE) data for a geometry-optimized Hf4Pd4Rh5 structure, as listed in the Alexandria database.

abc: 10.235 10.235 4.052
angles: 90.00 90.00 90.00
Space group I4/m (No. 87)
Asymmetric unit:
Hf 0.127 0.774 0.000
Pd 0.090 0.387 0.000
Rh 0.000 0.000 0.000
Rh 0.061 0.190 0.500

The calculation puts the calculated density at 12.9 g cm⁻³. The calculation puts the formation energy at -0.81 eV/atom. For the raw total energy, the calculation gives -8.2960 eV per atom. Its density of states at the Fermi level is 7.94 states/eV/f.u.